Record 1
# LaSiAsBr2 PBE relaxed
data_LaSiAsBr2
_space_group_name_H-M_alt 'P 4/m m m'
_space_group_IT_number 123
_space_group_name_Hall '-P 4 2'
_cell_length_a 5.7105
_cell_length_b 5.7105
_cell_length_c 6.0792
_cell_angle_alpha 90.00
_cell_angle_beta 90.00
_cell_angle_gamma 90.00
loop_
_atom_site_label
_atom_site_type_symbol
_atom_site_fract_x
_atom_site_fract_y
_atom_site_fract_z
La1 La 0.0000 0.0000 0.0000
Si1 Si 0.5000 0.5000 0.5000
As1 As 0.0000 0.0000 0.5000
Br1 Br 0.0000 0.5000 0.0000
# ρ	3.365	g/cm³
# DOS at the Fermi energy	0.72	states/eV per atom
# formation energy without anion corrections	-0.113	eV/atom



Record 2
# LaSiAsBr2 PBE relaxed
data_LaSiAsBr2
_space_group_name_H-M_alt 'P 4/m m m'
_space_group_IT_number 123
_space_group_name_Hall '-P 4 2'
_cell_length_a 5.0842
_cell_length_b 5.0842
_cell_length_c 5.1340
_cell_angle_alpha 90.00
_cell_angle_beta 90.00
_cell_angle_gamma 90.00
loop_
_atom_site_label
_atom_site_type_symbol
_atom_site_fract_x
_atom_site_fract_y
_atom_site_fract_z
La1 La 0.0000 0.0000 0.0000
Si1 Si 0.5000 0.5000 0.5000
As1 As 0.5000 0.5000 0.0000
Br1 Br 0.0000 0.5000 0.5000
# ρ	5.027	g/cm³
# DOS at the Fermi energy	0.80	states/eV per atom
# formation energy without anion corrections	-0.448	eV/atom



Record 3
# LaSnAs2Br PBE relaxed
data_LaSnAs2Br
_space_group_name_H-M_alt 'P 4/m m m'
_space_group_IT_number 123
_space_group_name_Hall '-P 4 2'
_cell_length_a 5.2572
_cell_length_b 5.2572
_cell_length_c 5.3724
_cell_angle_alpha 90.00
_cell_angle_beta 90.00
_cell_angle_gamma 90.00
loop_
_atom_site_label
_atom_site_type_symbol
_atom_site_fract_x
_atom_site_fract_y
_atom_site_fract_z
La1 La 0.0000 0.0000 0.0000
Sn1 Sn 0.5000 0.5000 0.5000
As1 As 0.0000 0.5000 0.5000
Br1 Br 0.5000 0.5000 0.0000
# ρ	5.450	g/cm³
# DOS at the Fermi energy	0.62	states/eV per atom
# formation energy without anion corrections	-0.258	eV/atom